[1]
Computed, not measured: a relaxed TaMo2W crystal at the GGA-PBE level of DFT.

Unit cell a=8.6728 b=8.6728 c=8.6728 alpha=20.12 beta=20.12 gamma=20.12
With the nearest neighbours (Å) after each atom.
Sites, in units of the cell vectors:
Ta 0.0000 0.0000 0.0000  6 Mo 2.79, 6 Ta 3.03
Mo 0.2482 0.2482 0.2482  3 W 2.72, 3 Ta 2.79, 6 Mo 3.03
Mo 0.7518 0.7518 0.7518  3 W 2.72, 3 Ta 2.79, 6 Mo 3.03
W 0.5000 0.5000 0.5000  6 Mo 2.72, 6 W 3.03

**Formation enthalpy at 0 K**: 111 kJ/mol of formula units
**Symmetry**: No. 166
**Raw total energy**: -45.3 eV/f.u.
**DOS(E_F)**: 0.85 states/eV/atom
**Size of the total moment**: 0.00 μB per atom
**Polymorph energy (0 for the lowest one)**: 42.13 kJ/mol of atoms

---

[2]
Computed, not measured: a relaxed TaMo5W4 crystal at the GGA-PBE level of DFT.

Unit cell a=3.1810 b=3.1810 c=15.9900 alpha=90.00 beta=90.00 gamma=90.00
With the nearest neighbours (Å) after each atom.
Sites, in units of the cell vectors:
Ta 0.0000 0.0000 0.0000  8 Mo 2.79
Mo 0.5000 0.5000 0.1036  4 W 2.74, 4 Ta 2.79
Mo 0.5000 0.5000 0.3017  8 W 2.75-2.76
Mo 0.5000 0.5000 0.5000  8 W 2.76
Mo 0.5000 0.5000 0.6983  8 W 2.75-2.76
Mo 0.5000 0.5000 0.8964  4 W 2.74, 4 Ta 2.79
W 0.0000 0.0000 0.2012  8 Mo 2.74-2.76
W 0.0000 0.0000 0.4004  8 Mo 2.75-2.76
W 0.0000 0.0000 0.5996  8 Mo 2.75-2.76
W 0.0000 0.0000 0.7988  8 Mo 2.74-2.76

**Formation enthalpy at 0 K**: -64 kJ/mol of formula units
**Symmetry**: No. 123
**Raw total energy**: -118.5 eV/f.u.
**DOS(E_F)**: 0.70 states/eV/atom
**Size of the total moment**: 0.00 μB per atom

---

[3]
Computed, not measured: a relaxed Ta3MoW crystal at the GGA-PBE level of DFT.

Unit cell a=4.7433 b=4.7433 c=4.7433 alpha=90.00 beta=90.00 gamma=90.00
With the nearest neighbours (Å) after each atom.
Sites, in units of the cell vectors:
Ta 0.0000 0.0000 0.5000  2 Mo 2.37
Ta 0.0000 0.5000 0.0000  2 Mo 2.37
Ta 0.5000 0.0000 0.0000  2 Mo 2.37
Mo 0.0000 0.0000 0.0000  6 Ta 2.37
W 0.5000 0.5000 0.5000  12 Ta 3.35

**Formation enthalpy at 0 K**: 869 kJ/mol of formula units
**Symmetry**: No. 221
**Raw total energy**: -50.3 eV/f.u.
**DOS(E_F)**: 1.69 states/eV/atom
**Size of the total moment**: 0.00 μB per atom
**Polymorph energy (0 for the lowest one)**: 187.35 kJ/mol of atoms

---

[4]
Computed, not measured: a relaxed Ta2MoW2 crystal at the GGA-PBE level of DFT.

Unit cell a=8.6980 b=8.6980 c=3.1989 alpha=90.00 beta=90.00 gamma=158.67
With the nearest neighbours (Å) after each atom.
Sites, in units of the cell vectors:
Ta 0.0951 0.9049 0.0000  4 Mo 2.79, 4 W 2.81
Ta 0.9049 0.0951 0.0000  4 Mo 2.79, 4 W 2.81
Mo 0.5000 0.5000 0.5000  8 Ta 2.79
W 0.3078 0.6922 0.5000  2 W 2.55, 4 Ta 2.81
W 0.6922 0.3078 0.5000  2 W 2.55, 4 Ta 2.81

**Formation enthalpy at 0 K**: 160 kJ/mol of formula units
**Symmetry**: No. 65
**Raw total energy**: -58.8 eV/f.u.
**DOS(E_F)**: 0.98 states/eV/atom
**Size of the total moment**: 0.00 μB per atom
**Polymorph energy (0 for the lowest one)**: 0.83 kJ/mol of atoms